No. 1
## MnRePb2 (PBE-GGA)

Data for MnRePb2 after structural relaxation. Values from VASP.

Summary:
Space-group type: I-4m2, No. 119
Electronic total energy in eV per atom: -6.298
Formation energy from the elements in eV/atom: 0.96
Polymorph energy (0 for the lowest one) in meV per atom: 545

The structure in Quantum ESPRESSO input format:
```
&SYSTEM
  ibrav = 0, nat = 4, ntyp = 3
/
ATOMIC_SPECIES
Mn 54.94 Mn.upf
Re 186.21 Re.upf
Pb 207.20 Pb.upf
ATOMIC_POSITIONS crystal
Mn 0.0000 0.0000 0.0000
Re 0.7500 0.2500 0.5000
Pb 0.2500 0.7500 0.5000
Pb 0.5000 0.5000 0.0000
CELL_PARAMETERS angstrom
-2.0808 2.0808 4.6708
2.0808 -2.0808 4.6708
2.0808 2.0808 -4.6708
```



No. 2
## MoWSe2 (PBE-GGA)

Data for MoWSe2 after structural relaxation. Values from VASP.

Summary:
Space-group type: Cmm2, No. 35
Electronic total energy in eV per atom: -7.380
Polymorph energy (0 for the lowest one) in meV per atom: 464
Raw formation energy in eV per atom: 0.309

The structure in Quantum ESPRESSO input format:
```
&SYSTEM
  ibrav = 0, nat = 4, ntyp = 3
/
ATOMIC_SPECIES
Mo 95.94 Mo.upf
W 183.84 W.upf
Se 78.96 Se.upf
ATOMIC_POSITIONS crystal
Mo 0.0000 0.0000 0.0000
W 0.5000 0.5000 0.7823
Se 0.0000 0.0000 0.5738
Se 0.5000 0.5000 0.2064
CELL_PARAMETERS angstrom
1.6181 -2.4295 0.0000
1.6181 2.4295 0.0000
0.0000 0.0000 9.8918
```



No. 3
## Sm4Te5Se (PBE-GGA)

Data for Sm4Te5Se after structural relaxation. Values from VASP.

Summary:
Space-group type: C2/m, No. 12
Electronic total energy in eV per atom: -5.226
Raw formation energy in eV per atom: -1.419

The structure in Quantum ESPRESSO input format:
```
&SYSTEM
  ibrav = 0, nat = 10, ntyp = 3
/
ATOMIC_SPECIES
Sm 150.36 Sm.upf
Te 127.60 Te.upf
Se 78.96 Se.upf
ATOMIC_POSITIONS crystal
Sm 0.0026 0.0026 0.2503
Sm 0.3300 0.3300 0.9018
Sm 0.6700 0.6700 0.0982
Sm 0.9974 0.9974 0.7497
Te 0.1641 0.1641 0.3374
Te 0.1639 0.1639 0.8365
Te 0.5000 0.5000 0.5000
Te 0.8361 0.8361 0.1635
Te 0.8359 0.8359 0.6626
Se 0.5000 0.5000 0.0000
CELL_PARAMETERS angstrom
9.6181 -2.1925 0.0000
9.6181 2.1925 0.0000
-2.1419 0.0000 8.5624
```